VASP calculation (GGA-PBE) on a relaxed YAs2PbSe crystal.

## Properties
For the formation energy without anion corrections, the calculation gives 0.003 eV per atom. Its density of states at the Fermi level is 5.80 states/eV/f.u. The calculation puts the total energy at -4.588 eV per atom.

a = 5.627 Å, b = 5.627 Å, c = 5.620 Å
α = 90.00°, β = 90.00°, γ = 90.00°
Element x y z (fractional)
Pb 0.500 0.500 0.500
Y 0.000 0.000 0.000
As 0.000 0.500 0.000
As 0.500 0.000 0.000
Se 0.000 0.000 0.500


VASP calculation (GGA-PBE) on a relaxed SrLa2SnN crystal.

## Properties
For the formation energy without anion corrections, the calculation gives -0.932 eV per atom. Its density of states at the Fermi level is 2.19 states/eV/f.u. The calculation puts the total energy at -5.705 eV per atom.

a = 5.095 Å, b = 5.095 Å, c = 5.255 Å
α = 90.00°, β = 90.00°, γ = 90.00°
Element x y z (fractional)
Sr 0.000 0.000 0.500
N 0.000 0.000 0.000
Sn 0.500 0.500 0.500
La 0.000 0.500 0.000
La 0.500 0.000 0.000


VASP calculation (GGA-PBE) on a relaxed EuY2Ho crystal.

## Properties
The calculated formation energy is 60 meV/atom. Its density of states at the Fermi level is 5.50 states/eV/f.u. The calculation puts the total energy at -6.886 eV per atom.

a = 3.615 Å, b = 3.615 Å, c = 10.339 Å
α = 90.00°, β = 90.00°, γ = 90.00°
Each line ends with the local moment (μB).
Element x y z (fractional)
Eu 0.500 0.500 0.500  6.95
Y 0.000 0.000 0.767  0.06
Y 0.000 0.000 0.233  0.06
Ho 0.500 0.500 0.000  -0.08